CoHO2: relaxed, GGA+U.

Cell: 2.467 14.031 3.772 Å, 90.00 90.00 90.00°
Fractional positions:
Co: 0.000 0.189 0.000
Co: 0.000 0.811 0.500
Co: 0.500 0.311 0.500
Co: 0.500 0.689 0.000
H: 0.000 0.052 0.001
H: 0.000 0.948 0.501
H: 0.500 0.448 0.501
H: 0.500 0.552 0.001
O: 0.000 0.214 0.500
O: 0.000 0.422 0.501
O: 0.000 0.578 0.001
O: 0.000 0.786 0.000
O: 0.500 0.078 0.001
O: 0.500 0.286 0.000
O: 0.500 0.714 0.500
O: 0.500 0.922 0.501

Output
VASP energy: -5.111 eV/atom
SG: Cmc2_1, No. 36